(1)
Here is a PBEsol-optimized structure of MnMoAs from the Alexandria database. Energies are from meta-GGA SCAN.

Values from the calculation:
- density of states at the Fermi level (states/eV per atom) = 0.80
- V (Å³/cell) = 190.5
- total energy (eV/cell) = -293.4

The structure in CIF format:
```
data_MnMoAs
_cell_length_a 5.7541
_cell_length_b 5.7541
_cell_length_c 5.7541
_cell_angle_alpha 90.00
_cell_angle_beta 90.00
_cell_angle_gamma 90.00
_symmetry_space_group_name_H-M 'F -4 3 m'
_symmetry_Int_Tables_number 216
_symmetry_space_group_name_Hall 'F -4 2 3'
loop_
_atom_site_label
_atom_site_type_symbol
_atom_site_fract_x
_atom_site_fract_y
_atom_site_fract_z
Mn1 Mn 0.0000 0.0000 0.0000
Mo1 Mo 0.0000 0.0000 0.5000
As1 As 0.2500 0.2500 0.2500
```



(2)
Here is a PBEsol-optimized structure of NiGeI2N from the Alexandria database. Energies are from meta-GGA SCAN.

Values from the calculation:
- density of states at the Fermi level (states/eV per atom) = 0.46
- V (Å³/cell) = 109.8
- total energy (eV/cell) = -113.3
- ΔE_f (raw) (eV per atom) = 0.938

The structure in CIF format:
```
data_NiGeI2N
_cell_length_a 5.6143
_cell_length_b 5.6143
_cell_length_c 3.4833
_cell_angle_alpha 90.00
_cell_angle_beta 90.00
_cell_angle_gamma 90.00
_symmetry_space_group_name_H-M 'P 4/m m m'
_symmetry_Int_Tables_number 123
_symmetry_space_group_name_Hall '-P 4 2'
loop_
_atom_site_label
_atom_site_type_symbol
_atom_site_fract_x
_atom_site_fract_y
_atom_site_fract_z
Ni1 Ni 0.0000 0.0000 0.0000
Ge1 Ge 0.5000 0.5000 0.5000
I1 I 0.0000 0.5000 0.5000
N1 N 0.5000 0.5000 0.0000
```



(3)
Here is a PBEsol-optimized structure of Ba2AuSe from the Alexandria database. Energies are from meta-GGA SCAN.

Values from the calculation:
- density of states at the Fermi level (states/eV per atom) = 0.62
- V (Å³/cell) = 142.9
- total energy (eV/cell) = -174.3
- ΔE_f (raw) (eV per atom) = -1.498

The structure in CIF format:
```
data_Ba2AuSe
_cell_length_a 4.6750
_cell_length_b 4.6750
_cell_length_c 6.5365
_cell_angle_alpha 90.00
_cell_angle_beta 90.00
_cell_angle_gamma 90.00
_symmetry_space_group_name_H-M 'P 4/m m m'
_symmetry_Int_Tables_number 123
_symmetry_space_group_name_Hall '-P 4 2'
loop_
_atom_site_label
_atom_site_type_symbol
_atom_site_fract_x
_atom_site_fract_y
_atom_site_fract_z
Ba1 Ba 0.0000 0.0000 0.0000
Ba2 Ba 0.5000 0.5000 0.5000
Au1 Au 0.0000 0.0000 0.5000
Se1 Se 0.5000 0.5000 0.0000
```



(4)
Here is a PBEsol-optimized structure of ZnFe4CoO8 from the Alexandria database. Energies are from meta-GGA SCAN.

Values from the calculation:
- density of states at the Fermi level (states/eV per atom) = 0.73
- V (Å³/cell) = 518.6
- energy above the lowest structure with this stoichiometry (meV/atom) = 12
- total energy (eV/cell) = -697.5
- ΔE_f (raw) (eV per atom) = -1.513

The structure in CIF format:
```
data_ZnFe4CoO8
_cell_length_a 8.0342
_cell_length_b 8.0342
_cell_length_c 8.0342
_cell_angle_alpha 90.00
_cell_angle_beta 90.00
_cell_angle_gamma 90.00
_symmetry_space_group_name_H-M 'F -4 3 m'
_symmetry_Int_Tables_number 216
_symmetry_space_group_name_Hall 'F -4 2 3'
loop_
_atom_site_label
_atom_site_type_symbol
_atom_site_fract_x
_atom_site_fract_y
_atom_site_fract_z
Zn1 Zn 0.0000 0.0000 0.0000
Fe1 Fe 0.1232 0.1232 0.6232
Co1 Co 0.2500 0.2500 0.2500
O1 O 0.1147 0.1147 0.3853
O2 O 0.1389 0.1389 0.8611
```



(5)
Here is a PBEsol-optimized structure of Ta2CuAg from the Alexandria database. Energies are from meta-GGA SCAN.

Values from the calculation:
- density of states at the Fermi level (states/eV per atom) = 1.01
- V (Å³/cell) = 62.8
- energy above the lowest structure with this stoichiometry (meV/atom) = 0
- total energy (eV/cell) = -178.8

The structure in CIF format:
```
data_Ta2CuAg
_cell_length_a 2.7647
_cell_length_b 2.7647
_cell_length_c 8.2215
_cell_angle_alpha 90.00
_cell_angle_beta 90.00
_cell_angle_gamma 90.00
_symmetry_space_group_name_H-M 'P 4/m m m'
_symmetry_Int_Tables_number 123
_symmetry_space_group_name_Hall '-P 4 2'
loop_
_atom_site_label
_atom_site_type_symbol
_atom_site_fract_x
_atom_site_fract_y
_atom_site_fract_z
Ta1 Ta 0.0000 0.0000 0.2286
Cu1 Cu 0.5000 0.5000 0.0000
Ag1 Ag 0.5000 0.5000 0.5000
```



(6)
Here is a PBEsol-optimized structure of YBe2Se from the Alexandria database. Energies are from meta-GGA SCAN.

Values from the calculation:
- density of states at the Fermi level (states/eV per atom) = 0.34
- V (Å³/cell) = 130.8
- total energy (eV/cell) = -114.9
- ΔE_f (raw) (eV per atom) = -0.206

The structure in CIF format:
```
data_YBe2Se
_cell_length_a 3.7203
_cell_length_b 3.8006
_cell_length_c 9.2513
_cell_angle_alpha 90.00
_cell_angle_beta 90.00
_cell_angle_gamma 90.00
_symmetry_space_group_name_H-M 'I m m 2'
_symmetry_Int_Tables_number 44
loop_
_symmetry_equiv_pos_as_xyz
'x,y,z'
'-x,-y,z'
'-x,y,z'
'x,-y,z'
'x+1/2,y+1/2,z+1/2'
'-x+1/2,-y+1/2,z+1/2'
'-x+1/2,y+1/2,z+1/2'
'x+1/2,-y+1/2,z+1/2'
loop_
_atom_site_label
_atom_site_type_symbol
_atom_site_fract_x
_atom_site_fract_y
_atom_site_fract_z
Y1 Y 0.0000 0.0000 0.0000
Be1 Be 0.0000 0.0000 0.3849
Be2 Be 0.0000 0.5000 0.7507
Se1 Se 0.0000 0.5000 0.2434
```



(7)
Here is a PBEsol-optimized structure of ScAs2IBr from the Alexandria database. Energies are from meta-GGA SCAN.

Values from the calculation:
- density of states at the Fermi level (states/eV per atom) = 0.57
- V (Å³/cell) = 136.7
- energy above the lowest structure with this stoichiometry (meV/atom) = 0
- total energy (eV/cell) = -111.5
- ΔE_f (raw) (eV per atom) = -0.140

The structure in CIF format:
```
data_ScAs2IBr
_cell_length_a 5.2314
_cell_length_b 5.2314
_cell_length_c 4.9954
_cell_angle_alpha 90.00
_cell_angle_beta 90.00
_cell_angle_gamma 90.00
_symmetry_space_group_name_H-M 'P 4/m m m'
_symmetry_Int_Tables_number 123
_symmetry_space_group_name_Hall '-P 4 2'
loop_
_atom_site_label
_atom_site_type_symbol
_atom_site_fract_x
_atom_site_fract_y
_atom_site_fract_z
Sc1 Sc 0.0000 0.0000 0.0000
As1 As 0.0000 0.5000 0.0000
I1 I 0.5000 0.5000 0.5000
Br1 Br 0.0000 0.0000 0.5000
```



(8)
Here is a PBEsol-optimized structure of LiTiV3O10 from the Alexandria database. Energies are from meta-GGA SCAN.

Values from the calculation:
- density of states at the Fermi level (states/eV per atom) = 0.00
- V (Å³/cell) = 399.4
- total energy (eV/cell) = -344.7
- ΔE_f (raw) (eV per atom) = -2.611

The structure in CIF format:
```
data_LiTiV3O10
_cell_length_a 9.1448
_cell_length_b 9.2610
_cell_length_c 4.7264
_cell_angle_alpha 90.00
_cell_angle_beta 93.76
_cell_angle_gamma 90.00
_symmetry_space_group_name_H-M 'C 1 2 1'
_symmetry_Int_Tables_number 5
loop_
_symmetry_equiv_pos_as_xyz
'x,y,z'
'-x,y,-z'
'x+1/2,y+1/2,z'
'-x+1/2,y+1/2,-z'
loop_
_atom_site_label
_atom_site_type_symbol
_atom_site_fract_x
_atom_site_fract_y
_atom_site_fract_z
Li1 Li 0.0000 0.0000 0.0000
Ti1 Ti 0.0000 0.2512 0.5000
V1 V 0.0000 0.7516 0.5000
V2 V 0.2419 0.0019 0.6130
O1 O 0.0982 0.8610 0.7358
O2 O 0.1058 0.1315 0.7417
O3 O 0.1170 0.6460 0.3243
O4 O 0.1231 0.3651 0.3106
O5 O 0.2082 0.0007 0.2752
```



(9)
Here is a PBEsol-optimized structure of TiPF2 from the Alexandria database. Energies are from meta-GGA SCAN.

Values from the calculation:
- density of states at the Fermi level (states/eV per atom) = 0.30
- V (Å³/cell) = 178.5
- energy above the lowest structure with this stoichiometry (meV/atom) = 0
- total energy (eV/cell) = -122.1
- ΔE_f (raw) (eV per atom) = -1.801

The structure in CIF format:
```
data_TiPF2
_cell_length_a 2.6422
_cell_length_b 2.6422
_cell_length_c 29.5226
_cell_angle_alpha 90.00
_cell_angle_beta 90.00
_cell_angle_gamma 120.00
_symmetry_space_group_name_H-M 'R -3 m'
_symmetry_Int_Tables_number 166
_symmetry_space_group_name_Hall '-R 3 2"'
loop_
_atom_site_label
_atom_site_type_symbol
_atom_site_fract_x
_atom_site_fract_y
_atom_site_fract_z
Ti1 Ti 0.0000 0.0000 0.0000
P1 P 0.0000 0.0000 0.5000
F1 F 0.0000 0.0000 0.3804
```



(10)
Here is a PBEsol-optimized structure of SrTlNiRh2 from the Alexandria database. Energies are from meta-GGA SCAN.

Values from the calculation:
- density of states at the Fermi level (states/eV per atom) = 0.64
- V (Å³/cell) = 106.4
- total energy (eV/cell) = -175.8

The structure in CIF format:
```
data_SrTlNiRh2
_cell_length_a 4.5906
_cell_length_b 4.5906
_cell_length_c 5.0494
_cell_angle_alpha 90.00
_cell_angle_beta 90.00
_cell_angle_gamma 90.00
_symmetry_space_group_name_H-M 'P 4/m m m'
_symmetry_Int_Tables_number 123
_symmetry_space_group_name_Hall '-P 4 2'
loop_
_atom_site_label
_atom_site_type_symbol
_atom_site_fract_x
_atom_site_fract_y
_atom_site_fract_z
Sr1 Sr 0.0000 0.0000 0.0000
Tl1 Tl 0.5000 0.5000 0.0000
Ni1 Ni 0.0000 0.0000 0.5000
Rh1 Rh 0.0000 0.5000 0.5000
```



(11)
Here is a PBEsol-optimized structure of TeC3 from the Alexandria database. Energies are from meta-GGA SCAN.

Values from the calculation:
- density of states at the Fermi level (states/eV per atom) = 0.27
- V (Å³/cell) = 127.8
- total energy (eV/cell) = -123.8
- ΔE_f (raw) (eV per atom) = 1.416

The structure in CIF format:
```
data_TeC3
_cell_length_a 5.4649
_cell_length_b 6.8660
_cell_length_c 3.4060
_cell_angle_alpha 90.00
_cell_angle_beta 90.00
_cell_angle_gamma 90.00
_symmetry_space_group_name_H-M 'C m m m'
_symmetry_Int_Tables_number 65
_symmetry_space_group_name_Hall '-C 2 2'
loop_
_atom_site_label
_atom_site_type_symbol
_atom_site_fract_x
_atom_site_fract_y
_atom_site_fract_z
Te1 Te 0.0000 0.0000 0.0000
C1 C 0.0000 0.5000 0.5000
C2 C 0.2385 0.5000 0.5000
```



(12)
Here is a PBEsol-optimized structure of Ti3CdGa from the Alexandria database. Energies are from meta-GGA SCAN.

Values from the calculation:
- density of states at the Fermi level (states/eV per atom) = 0.63
- V (Å³/cell) = 101.6
- total energy (eV/cell) = -92.8

The structure in CIF format:
```
data_Ti3CdGa
_cell_length_a 4.6666
_cell_length_b 4.6666
_cell_length_c 4.6666
_cell_angle_alpha 90.00
_cell_angle_beta 90.00
_cell_angle_gamma 90.00
_symmetry_space_group_name_H-M 'P m -3 m'
_symmetry_Int_Tables_number 221
_symmetry_space_group_name_Hall '-P 4 2 3'
loop_
_atom_site_label
_atom_site_type_symbol
_atom_site_fract_x
_atom_site_fract_y
_atom_site_fract_z
Ti1 Ti 0.0000 0.0000 0.5000
Cd1 Cd 0.5000 0.5000 0.5000
Ga1 Ga 0.0000 0.0000 0.0000
```